No. 1
VASP calculation (PBE) on a relaxed SrLi8In4 crystal.

Cell: 6.0309 7.5505 7.5505 Å, 80.82 66.46 66.46°
Last column: nearest neighbours and their distance in Å.
Atoms (fractional coordinates):
In  0.0000  0.5000  0.0000  8 Li 2.88-3.02, 2 In 3.02
In  0.0000  0.0000  0.5000  8 Li 2.88-3.02, 2 In 3.02
Li  0.0000  0.3448  0.6552  4 In 3.02, 5 Li 3.04-3.23, 1 Sr 3.38
In  0.5000  0.5000  0.0000  8 Li 2.88-3.02, 2 In 3.02
Li  0.3448  0.6552  0.6552  4 In 3.02, 5 Li 3.04-3.23, 1 Sr 3.38
Li  0.0000  0.6552  0.3448  4 In 3.02, 5 Li 3.04-3.23, 1 Sr 3.38
In  0.5000  0.0000  0.5000  8 Li 2.88-3.02, 2 In 3.02
Li  0.2734  0.2266  0.2266  4 In 2.88, 4 Li 3.08-3.14
Sr  0.0000  0.0000  0.0000  12 Li 3.38-3.74, 8 In 3.78
Li  0.7266  0.7734  0.7734  4 In 2.88, 4 Li 3.08-3.14
Li  0.5000  0.2266  0.7734  4 In 2.88, 4 Li 3.08-3.14
Li  0.6552  0.3448  0.3448  4 In 3.02, 5 Li 3.04-3.23, 1 Sr 3.38
Li  0.5000  0.7734  0.2266  4 In 2.88, 4 Li 3.08-3.14

space group	No. 139
M_tot	0.000	μB per atom
VASP energy	-2.394	eV per atom
energy of formation from the pure elements	-0.245	eV/atom

No. 2
VASP calculation (PBE) on a relaxed LiMgCu2 crystal.

Cell: 3.2155 3.0223 6.6054 Å, 62.65 90.00 90.00°
Last column: nearest neighbours and their distance in Å.
Atoms (fractional coordinates):
Mg  0.5000  0.7500  0.7500  8 Cu 2.73, 2 Li 2.93, 2 Mg 3.02
Cu  0.0000  0.5252  0.4754  4 Li 2.57, 1 Cu 2.64, 4 Mg 2.73
Cu  0.0000  0.9748  0.0246  4 Li 2.57, 1 Cu 2.64, 4 Mg 2.73
Li  0.5000  0.2500  0.2500  8 Cu 2.57

space group	No. 10
M_tot	0.000	μB per atom
VASP energy	-2.970	eV per atom
energy of formation from the pure elements	-0.045	eV/atom